(1)
ScSn2Se after structural relaxation, computed with PBE.

Cell: 8.2708 8.2708 6.5576 Å, 50.90 50.90 90.00°
Sites, in units of the cell vectors:
Se 0.7500 0.2500 0.5000
Sn 0.3750 0.3701 0.7500
Sn 0.8750 0.8799 0.7500
Sn 0.6299 0.1250 0.2500
Sn 0.1201 0.6250 0.2500
Sc 0.5000 0.5000 0.0000
Sc 0.2500 0.7500 0.5000
Se 0.0000 0.0000 0.0000

Summary:
VASP energy: -4.63 eV per atom
SG: No. 122
Formation energy without anion corrections: -178.8 meV per atom

=====

(2)
Sc6SnSe4 after structural relaxation, computed with PBE.

Cell: 3.8837 6.5981 19.4560 Å, 90.00 90.00 107.12°
Sites, in units of the cell vectors:
Sc 0.9539 0.9078 0.8365
Se 0.4104 0.8207 0.3766
Sc 0.9539 0.9078 0.6635
Sn 0.3329 0.6659 0.7500
Se 0.5896 0.1793 0.8766
Se 0.8576 0.7152 0.5382
Sc 0.7638 0.5276 0.1013
Sc 0.5000 0.0000 0.5000
Sc 0.2362 0.4724 0.8987
Sc 0.7638 0.5276 0.3987
Se 0.1424 0.2848 0.0382
Se 0.8576 0.7152 0.9618
Sc 0.5000 0.0000 0.0000
Sn 0.6671 0.3341 0.2500
Sc 0.6592 0.3183 0.7500
Se 0.1424 0.2848 0.4618
Sc 0.3408 0.6817 0.2500
Sc 0.0461 0.0922 0.1635
Se 0.5896 0.1793 0.6234
Sc 0.2362 0.4724 0.6013
Sc 0.0461 0.0922 0.3365
Se 0.4104 0.8207 0.1234

Summary:
VASP energy: -6.39 eV per atom
SG: No. 63
Formation energy without anion corrections: -1307.1 meV per atom

=====

(3)
Sc4SnSe after structural relaxation, computed with PBE.

Cell: 5.7560 6.9648 7.8758 Å, 104.22 111.44 89.99°
Sites, in units of the cell vectors:
Se 0.5000 0.0000 0.5000
Sc 0.4830 0.9379 0.1589
Sc 0.3232 0.5619 0.8414
Se 0.0000 0.5000 0.5000
Sc 0.0614 0.1337 0.3328
Sc 0.5170 0.0621 0.8411
Sc 0.7285 0.3664 0.6674
Sn 0.1263 0.2499 0.0001
Sc 0.2715 0.6336 0.3326
Sn 0.8737 0.7501 0.9999
Sc 0.9386 0.8663 0.6672
Sc 0.6768 0.4381 0.1586

Summary:
VASP energy: -6.10 eV per atom
SG: No. 15
Formation energy without anion corrections: -627.5 meV per atom

=====

(4)
Sc2SnSe2 after structural relaxation, computed with PBE.

Cell: 7.8145 7.8145 3.5285 Å, 90.00 90.00 90.00°
Sites, in units of the cell vectors:
Sc 0.8454 0.6546 0.0000
Se 0.6419 0.8581 0.5000
Sn 0.5000 0.5000 0.0000
Sc 0.6546 0.1546 0.0000
Sn 0.0000 0.0000 0.0000
Se 0.8581 0.3581 0.5000
Se 0.3581 0.1419 0.5000
Sc 0.3454 0.8454 0.0000
Se 0.1419 0.6419 0.5000
Sc 0.1546 0.3454 0.0000

Summary:
Relative energy among the computed polymorphs: 0.000 eV per atom
VASP energy: -5.73 eV per atom
SG: No. 127
Formation energy without anion corrections: -1003.6 meV per atom